Entry 1:
Material: PmY2HoAs4
Method: DFT, GGA-PBE
State: optimized geometry

The formation energy comes out at -12.3 eV/f.u. Its magnetic moment is 0.00 μB/f.u. As for the raw total energy: -6.645 eV/atom. As for the crystal system: monoclinic.

The structure belongs to space group P2/m (No. 10); the cell edges are 7.182, 4.150 and 7.182 Å and the angles 90.00°, 109.47° and 90.00°. The distinct sites, in fractional coordinates, are Pm at (0.000, 0.000, 0.000), Y at (0.500, 0.000, 0.500), Y at (0.500, 0.500, 0.000), Ho at (0.000, 0.500, 0.500), As at (0.251, 0.000, 0.747) and As at (0.254, 0.500, 0.255).

---

Entry 2:
Material: Pm2HoZrAs4
Method: DFT, GGA-PBE
State: optimized geometry

The formation energy comes out at -11.4 eV/f.u. Its magnetic moment is 0.00 μB/f.u. As for the raw total energy: -6.576 eV/atom. As for the crystal system: monoclinic.

The structure belongs to space group P2/m (No. 10); the cell edges are 7.097, 4.097 and 7.108 Å and the angles 90.00°, 109.29° and 90.00°. The distinct sites, in fractional coordinates, are Pm at (0.000, 0.000, 0.000), Pm at (0.500, 0.500, 0.000), Ho at (0.000, 0.500, 0.500), Zr at (0.500, 0.000, 0.500), As at (0.252, 0.000, 0.736) and As at (0.262, 0.500, 0.268).

---

Entry 3:
Material: Pr2HoAs3
Method: DFT, GGA-PBE
State: optimized geometry

The formation energy comes out at -8.9 eV/f.u. Its magnetic moment is 0.00 μB/f.u. As for the raw total energy: -6.170 eV/atom. As for the crystal system: tetragonal.

The structure belongs to space group I4/mmm (No. 139); the cell edges are 4.246, 4.246 and 17.990 Å and the angles 90.00°, 90.00° and 90.00°. The distinct sites, in fractional coordinates, are Pr at (0.000, 0.000, 0.166), Ho at (0.000, 0.000, 0.500), As at (0.000, 0.000, 0.000) and As at (0.000, 0.000, 0.337).